(1)
A relaxed Mg2VInMo crystal, computed with GGA-PBE.

```
5
Lattice="5.0320 0.0000 0.0000 0.0000 5.0320 0.0000 0.0000 0.0000 5.0494" Properties=species:S:1:pos:R:3 pbc="T T T"
Mg 0.0000 2.5160 0.0000
Mg 2.5160 0.0000 0.0000
V 0.0000 0.0000 2.5247
In 0.0000 0.0000 0.0000
Mo 2.5160 2.5160 2.5247
```

Properties
- energy of formation from the pure elements (kJ/mol of formula units) = 769
- N(E_F) (states/eV/cell) = 7.5
- total magnetic moment (μB per formula unit) = 4.14

(2)
A relaxed PrNdPb2 crystal, computed with GGA-PBE.

```
4
Lattice="3.6276 0.0000 0.0000 0.0000 3.6276 0.0000 0.0000 0.0000 9.2680" Properties=species:S:1:pos:R:3 pbc="T T T"
Pr 0.0000 0.0000 0.0000
Nd 0.0000 0.0000 4.6340
Pb 1.8138 1.8138 2.3323
Pb 1.8138 1.8138 6.9357
```

Properties
- energy of formation from the pure elements (kJ/mol of formula units) = -199
- N(E_F) (states/eV/cell) = 4.7
- total magnetic moment (μB per formula unit) = 0.00